Entry 1:
First-principles (PBE) data for a relaxed structure of HfTiAu4, as listed in Alexandria.

Cell and atoms, written as POSCAR:
```
HfTiAu4
1.0
-2.7178 1.7526 1.4142
-1.0998 -2.9671 1.5636
4.8405 1.8802 6.9722
Ti Au Hf
1 4 1
Cartesian
0.5115 0.3328 4.9750
-1.0870 -0.2881 2.6727
2.1100 0.9537 7.2772
-0.6128 0.0302 7.5935
1.6358 0.6354 2.3564
0.0000 0.0000 0.0000
```

Output
Total magnetization: 0.5 μB per cell
E_form: -47.4 kJ/mol of atoms
V: 108 Å³/f.u.

---

Entry 2:
First-principles (PBE) data for a relaxed structure of HfTi3Au, as listed in Alexandria.

Cell and atoms, written as POSCAR:
```
HfTi3Au
1.0
4.8598 0.0000 0.0000
0.0000 4.8598 0.0000
0.0000 0.0000 4.8598
Au Ti Hf
1 3 1
Cartesian
0.0000 0.0000 0.0000
0.0000 2.4299 0.0000
0.0000 0.0000 2.4299
2.4299 0.0000 0.0000
2.4299 2.4299 2.4299
```

Output
ΔE to the lowest computed polymorph: 0 meV per atom
Total magnetization: 1.1 μB per cell
E_form: 76.1 kJ/mol of atoms
V: 115 Å³/f.u.

---

Entry 3:
First-principles (PBE) data for a relaxed structure of HfTiAu3, as listed in Alexandria.

Cell and atoms, written as POSCAR:
```
HfTiAu3
1.0
-0.1109 2.0761 4.3653
-3.9568 -2.5472 1.1109
2.7767 -3.5468 1.7573
Ti Au Hf
1 3 1
Cartesian
0.0000 0.0000 0.0000
-0.0554 1.0380 2.1826
1.3883 -1.7734 0.8787
-1.9784 -1.2736 0.5555
-0.6455 -2.0090 3.6168
```

Output
ΔE to the lowest computed polymorph: 0 meV per atom
Total magnetization: 0.0 μB per cell
E_form: 61.0 kJ/mol of atoms
V: 113 Å³/f.u.

---

Entry 4:
First-principles (PBE) data for a relaxed structure of Hf3TiAu, as listed in Alexandria.

Cell and atoms, written as POSCAR:
```
Hf3TiAu
1.0
-3.0505 -0.1101 3.7848
-3.1574 -2.6086 -2.6207
2.0899 -4.1018 1.5651
Ti Hf Au
1 3 1
Cartesian
0.0000 0.0000 0.0000
-1.5252 -0.0550 1.8924
1.0449 -2.0509 0.7825
-1.5787 -1.3043 -1.3103
-2.0590 -3.4103 1.3646
```

Output
ΔE to the lowest computed polymorph: 0 meV per atom
Total magnetization: 0.0 μB per cell
E_form: 83.4 kJ/mol of atoms
V: 115 Å³/f.u.

---

Entry 5:
First-principles (PBE) data for a relaxed structure of Hf2Ti2Au, as listed in Alexandria.

Cell and atoms, written as POSCAR:
```
Hf2Ti2Au
1.0
6.9262 0.0000 0.0000
0.0000 6.9262 0.0000
0.0000 0.0000 4.0770
Ti Hf Au
4 4 2
Cartesian
2.5153 5.9784 0.0000
4.4109 0.9478 0.0000
5.9784 4.4109 0.0000
0.9478 2.5153 0.0000
2.3577 1.1055 2.0385
5.8208 2.3577 2.0385
1.1055 4.5686 2.0385
4.5686 5.8208 2.0385
0.0000 0.0000 0.0000
3.4631 3.4631 0.0000
```

Output
ΔE to the lowest computed polymorph: 58 meV per atom
Total magnetization: 0.0 μB per cell
E_form: -5.4 kJ/mol of atoms
V: 98 Å³/f.u.

---

Entry 6:
First-principles (PBE) data for a relaxed structure of HfTi2Au, as listed in Alexandria.

Cell and atoms, written as POSCAR:
```
HfTi2Au
1.0
3.0912 0.0000 0.0000
0.0000 3.0912 0.0000
0.0000 0.0000 7.6908
Ti Hf Au
2 1 1
Cartesian
0.0000 0.0000 0.1195
1.5456 1.5456 1.9205
1.5456 1.5456 5.7947
0.0000 0.0000 3.7014
```

Output
Total magnetization: 0.0 μB per cell
E_form: -24.2 kJ/mol of atoms
V: 73 Å³/f.u.

---

Entry 7:
First-principles (PBE) data for a relaxed structure of Hf2Ti2Au, as listed in Alexandria.

Cell and atoms, written as POSCAR:
```
Hf2Ti2Au
1.0
-3.6777 2.2344 1.0527
-0.6778 1.5953 -5.7455
-1.7523 -7.8356 1.1779
Ti Hf Au
4 4 2
Cartesian
-3.9162 -2.6674 1.2961
-4.2551 -1.8698 -1.5765
-2.1916 -1.3385 -4.8111
-1.8527 -2.1361 -1.9384
-3.0886 -4.6521 -0.9218
-3.4274 -3.8545 -3.7946
-2.6804 -0.1514 0.2797
-3.0191 0.6461 -2.5931
-4.1860 3.4308 -3.2564
-1.9218 -7.4367 -0.2585
```

Output
ΔE to the lowest computed polymorph: 0 meV per atom
Total magnetization: 0.0 μB per cell
E_form: -10.9 kJ/mol of atoms
V: 96 Å³/f.u.

---

Entry 8:
First-principles (PBE) data for a relaxed structure of HfTi2Au, as listed in Alexandria.

Cell and atoms, written as POSCAR:
```
HfTi2Au
1.0
-0.4110 0.2446 4.1946
-3.1114 -2.7348 -0.1454
2.7088 -3.1055 0.4465
Ti Hf Au
2 1 1
Cartesian
-1.5557 -1.3674 -0.0727
1.3544 -1.5528 0.2233
-0.4068 -2.7979 2.2479
-0.2055 0.1223 2.0973
```

Output
Total magnetization: 0.0 μB per cell
E_form: -19.8 kJ/mol of atoms
V: 73 Å³/f.u.

---

Entry 9:
First-principles (PBE) data for a relaxed structure of Hf3TiAu, as listed in Alexandria.

Cell and atoms, written as POSCAR:
```
Hf3TiAu
1.0
5.1062 0.0000 0.0000
0.0000 5.1062 0.0000
0.0000 0.0000 5.1062
Au Hf Ti
1 3 1
Cartesian
0.0000 0.0000 0.0000
0.0000 2.5531 0.0000
2.5531 0.0000 0.0000
0.0000 0.0000 2.5531
2.5531 2.5531 2.5531
```

Output
ΔE to the lowest computed polymorph: 12 meV per atom
Total magnetization: 3.2 μB per cell
E_form: 84.5 kJ/mol of atoms
V: 133 Å³/f.u.

---

Entry 10:
First-principles (PBE) data for a relaxed structure of YHfTiAu2, as listed in Alexandria.

Cell and atoms, written as POSCAR:
```
YHfTiAu2
1.0
-3.0915 -0.4218 -4.1272
-2.0479 -3.8094 1.9233
-3.4929 3.0418 2.3056
Ti Au Y Hf
1 2 1 1
Cartesian
-1.0239 -1.9047 0.9616
-1.5458 -0.2109 -2.0636
-1.7465 1.5209 1.1528
-4.3162 -0.5946 0.0508
0.0000 0.0000 0.0000
```

Output
Total magnetization: 0.8 μB per cell
E_form: 36.0 kJ/mol of atoms
V: 127 Å³/f.u.

---

Entry 11:
First-principles (PBE) data for a relaxed structure of Hf2TlAu, as listed in Alexandria.

Cell and atoms, written as POSCAR:
```
Hf2TlAu
1.0
-0.6043 -4.9657 -5.8669
-4.4674 -4.5620 4.3214
-5.0618 -3.2541 -1.7903
Au Hf Tl
2 4 2
Cartesian
-6.0325 -6.2900 0.8791
-2.5358 -4.7638 -0.7727
-2.1854 -4.3543 -3.4171
-4.1493 -4.4185 1.3628
-5.8179 -6.1357 -1.8066
-8.1144 -10.6551 -2.8108
0.0000 0.0000 0.0000
-4.1010 -6.4918 -4.2150
```

Output
ΔE to the lowest computed polymorph: 294 meV per atom
Total magnetization: 0.0 μB per cell
E_form: 13.3 kJ/mol of atoms
V: 93 Å³/f.u.

---

Entry 12:
First-principles (PBE) data for a relaxed structure of HfTl3Au, as listed in Alexandria.

Cell and atoms, written as POSCAR:
```
HfTl3Au
1.0
5.6432 0.0000 0.0000
0.0000 5.6432 0.0000
0.0000 0.0000 5.6432
Hf Tl Au
1 3 1
Cartesian
0.0000 0.0000 0.0000
2.8216 0.0000 0.0000
0.0000 2.8216 0.0000
0.0000 0.0000 2.8216
2.8216 2.8216 2.8216
```

Output
Total magnetization: 0.0 μB per cell
E_form: 76.8 kJ/mol of atoms
V: 180 Å³/f.u.

---

Entry 13:
First-principles (PBE) data for a relaxed structure of HfTl2Au, as listed in Alexandria.

Cell and atoms, written as POSCAR:
```
HfTl2Au
1.0
7.9647 0.0000 0.0000
0.0000 7.9647 0.0000
3.9824 3.9824 3.0339
Tl Hf Au
4 2 2
Cartesian
5.9736 5.8420 2.2754
9.9559 10.0875 2.2754
1.8596 5.9736 0.7585
6.1051 1.9912 0.7585
3.9824 7.9647 1.5170
3.9824 3.9824 0.0000
0.0000 0.0000 0.0000
7.9647 3.9824 1.5170
```

Output
ΔE to the lowest computed polymorph: 0 meV per atom
Total magnetization: 0.0 μB per cell
E_form: 24.4 kJ/mol of atoms
V: 96 Å³/f.u.

---

Entry 14:
First-principles (PBE) data for a relaxed structure of Hf3TlAu, as listed in Alexandria.

Cell and atoms, written as POSCAR:
```
Hf3TlAu
1.0
-1.1271 -3.8019 -3.2573
4.0696 -2.6405 1.6738
-2.9160 -2.2155 3.5949
Hf Tl Au
3 1 1
Cartesian
-0.5636 -1.9010 -1.6287
2.0348 -1.3202 0.8369
-1.4580 -1.1077 1.7975
0.0132 -4.3289 1.0057
0.0000 0.0000 0.0000
```

Output
ΔE to the lowest computed polymorph: 0 meV per atom
Total magnetization: 0.0 μB per cell
E_form: 54.1 kJ/mol of atoms
V: 135 Å³/f.u.

---

Entry 15:
First-principles (PBE) data for a relaxed structure of Hf2TlAu, as listed in Alexandria.

Cell and atoms, written as POSCAR:
```
Hf2TlAu
1.0
-1.8150 2.3636 -1.3616
-2.8679 0.8417 1.3421
2.8398 7.5305 5.3447
Hf Au Tl
2 1 1
Cartesian
-0.5368 2.5723 1.2389
-1.3063 8.1635 4.0863
0.0000 0.0000 0.0000
-0.9215 5.3679 2.6626
```

Output
ΔE to the lowest computed polymorph: 125 meV per atom
Total magnetization: 0.0 μB per cell
E_form: -3.0 kJ/mol of atoms
V: 88 Å³/f.u.

---

Entry 16:
First-principles (PBE) data for a relaxed structure of HfTl2Au, as listed in Alexandria.

Cell and atoms, written as POSCAR:
```
HfTl2Au
1.0
4.3932 -1.3819 2.0552
0.1714 -3.8890 3.2063
2.1874 -4.3244 -1.3959
Hf Tl Au
1 2 1
Cartesian
0.0000 0.0000 0.0000
1.6880 -2.3988 0.9664
5.0640 -7.1965 2.8992
3.3760 -4.7977 1.9328
```

Output
ΔE to the lowest computed polymorph: 49 meV per atom
Total magnetization: 0.0 μB per cell
E_form: 29.2 kJ/mol of atoms
V: 91 Å³/f.u.

---

Entry 17:
First-principles (PBE) data for a relaxed structure of Hf2TlAu, as listed in Alexandria.

Cell and atoms, written as POSCAR:
```
Hf2TlAu
1.0
-0.7572 -1.4331 -2.6620
-2.6130 -1.0702 1.3194
-4.1814 7.0176 -2.5887
Au Hf Tl
1 2 1
Cartesian
-1.6851 -1.2517 -0.6713
-3.2084 5.3847 -1.9863
-0.9729 1.6329 -0.6023
-3.7758 2.2571 -1.9657
```

Output
ΔE to the lowest computed polymorph: 0 meV per atom
Total magnetization: 0.0 μB per cell
E_form: -15.1 kJ/mol of atoms
V: 83 Å³/f.u.

---

Entry 18:
First-principles (PBE) data for a relaxed structure of Hf2Tl2Au, as listed in Alexandria.

Cell and atoms, written as POSCAR:
```
Hf2Tl2Au
1.0
-7.0077 0.9872 1.3290
-1.5594 -1.9958 -6.7404
-0.3593 -4.4275 1.3941
Tl Au Hf
4 2 4
Cartesian
-2.8169 -2.1947 0.0780
-6.1096 -3.2415 -4.0953
-2.3221 -3.3721 -3.5339
-6.6043 -2.0640 -0.4834
-4.2836 -0.5043 -2.7057
0.0000 0.0000 0.0000
-6.9609 -0.4632 -3.2654
-1.6062 -0.5454 -2.1461
-4.8035 0.3406 -0.1564
-3.7636 -1.3492 -5.2550
```

Output
Total magnetization: 0.0 μB per cell
E_form: 14.2 kJ/mol of atoms
V: 121 Å³/f.u.

---

Entry 19:
First-principles (PBE) data for a relaxed structure of HfTl2Au, as listed in Alexandria.

Cell and atoms, written as POSCAR:
```
HfTl2Au
1.0
-1.2841 -2.5932 1.5243
0.9666 -0.7596 3.0309
-7.8522 5.0839 5.5429
Tl Hf Au
2 1 1
Cartesian
-5.7233 3.3795 4.4369
-2.4464 -1.6484 5.6612
0.0000 0.0000 0.0000
-4.0849 0.8655 5.0490
```

Output
ΔE to the lowest computed polymorph: 65 meV per atom
Total magnetization: 0.0 μB per cell
E_form: 30.7 kJ/mol of atoms
V: 99 Å³/f.u.

---

Entry 20:
First-principles (PBE) data for a relaxed structure of Hf6TlAu, as listed in Alexandria.

Cell and atoms, written as POSCAR:
```
Hf6TlAu
1.0
7.8178 0.0127 0.2815
3.8982 6.7823 0.1318
3.7884 2.2688 3.3289
Hf Tl Au
6 1 1
Cartesian
4.7775 5.0826 2.5516
10.7268 3.9811 1.1907
5.8315 2.2515 1.0164
12.6207 8.4869 2.8315
2.8836 0.5768 0.9108
9.6728 6.8122 2.7258
7.7522 4.5319 1.8711
0.0000 0.0000 0.0000
```

Output
Total magnetization: 0.0 μB per cell
E_form: -12.0 kJ/mol of atoms
V: 169 Å³/f.u.